(1)
Entry from Alexandria: SrLiTlAu after structural relaxation (PBE).

abc: 8.1458 4.7197 6.1959
angles: 90.00 116.15 90.00
Last column: nearest neighbours and their distance in Å.
Space group Cm (No. 8)
Inequivalent atoms, fractional coordinates:
Sr (0.0000, 0.0000, 0.0000) [2 per cell]  4 Au 3.42-3.46, 4 Tl 3.44-3.45, 3 Li 3.56-3.57
Li (0.0282, 0.5000, 0.5846) [2 per cell]  3 Au 2.72-2.73, 3 Tl 2.94-2.95
Tl (0.2930, 0.5000, 0.3800) [2 per cell]  3 Li 2.94-2.95, 3 Au 3.01-3.02
Au (0.2052, 0.0000, 0.6154) [2 per cell]  3 Li 2.72-2.73, 3 Tl 3.01-3.02

Results
Energy above the lowest structure with this stoichiometry   0 meV per atom
Total energy   -22.103 eV per cell
Formation energy from the elements   -0.4530 eV per atom


(2)
Entry from Alexandria: SrLi2TlAu2 after structural relaxation (PBE).

abc: 4.6890 4.6890 7.1060
angles: 90.00 90.00 120.00
Last column: nearest neighbours and their distance in Å.
Space group P-3m1 (No. 164)
Inequivalent atoms, fractional coordinates:
Sr (0.0000, 0.0000, 0.0000) [1 per cell]  6 Au 3.35, 2 Tl 3.55, 6 Li 3.60
Li (0.3333, 0.6667, 0.6658) [2 per cell]  4 Au 2.74-2.76, 3 Tl 2.95
Tl (0.0000, 0.0000, 0.5000) [1 per cell]  6 Li 2.95, 6 Au 3.14
Au (0.3333, 0.6667, 0.2769) [2 per cell]  4 Li 2.74-2.76

Results
Total energy   -17.460 eV per cell
Formation energy from the elements   -0.5049 eV per atom


(3)
Entry from Alexandria: SrLi2TlAu after structural relaxation (PBE).

abc: 5.0120 5.0120 5.6588
angles: 90.00 90.00 90.00
Last column: nearest neighbours and their distance in Å.
Space group P4/mmm (No. 123)
Inequivalent atoms, fractional coordinates:
Sr (0.0000, 0.0000, 0.0000) [1 per cell]  4 Tl 3.54, 8 Li 3.78
Li (0.0000, 0.5000, 0.5000) [2 per cell]  2 Au 2.51
Tl (0.5000, 0.5000, 0.0000) [1 per cell]  2 Au 2.83
Au (0.5000, 0.5000, 0.5000) [1 per cell]  4 Li 2.51

Results
Total energy   -12.266 eV per cell
Formation energy from the elements   -0.2225 eV per atom


(4)
Entry from Alexandria: Sr2LiTlAu after structural relaxation (PBE).

abc: 6.0914 6.0914 4.7859
angles: 90.00 90.00 90.00
Last column: nearest neighbours and their distance in Å.
Space group P4/mmm (No. 123)
Inequivalent atoms, fractional coordinates:
Sr (0.0000, 0.5000, 0.0000) [2 per cell]  2 Au 3.05
Li (0.0000, 0.0000, 0.5000) [1 per cell]  2 Au 2.39
Tl (0.5000, 0.5000, 0.5000) [1 per cell]  8 Sr 3.87, 4 Li 4.31
Au (0.0000, 0.0000, 0.0000) [1 per cell]  2 Li 2.39

Results
Total energy   -12.611 eV per cell
Formation energy from the elements   -0.3380 eV per atom


(5)
Entry from Alexandria: SrLi2YAu4 after structural relaxation (PBE).

abc: 4.5892 4.5892 29.2932
angles: 90.00 90.00 120.00
Last column: nearest neighbours and their distance in Å.
Space group R-3m (No. 166, hexagonal axes)
Inequivalent atoms, fractional coordinates:
Sr (0.0000, 0.0000, 0.0000) [3 per cell]  8 Au 3.27-3.35
Li (0.0000, 0.0000, 0.2443) [6 per cell]  6 Au 2.74-2.75
Y (0.0000, 0.0000, 0.5000) [3 per cell]  8 Au 2.97-3.06
Au (0.0000, 0.0000, 0.1145) [6 per cell]  3 Li 2.75, 3 Au 3.01, 3 Y 3.06
Au (0.0000, 0.0000, 0.3987) [6 per cell]  3 Li 2.74, 1 Y 2.97, 3 Au 3.01

Results
Total energy   -91.559 eV per cell
Formation energy from the elements   -0.6796 eV per atom


(6)
Entry from Alexandria: SrLiZn2Au4 after structural relaxation (PBE).

abc: 4.5077 4.5077 26.8074
angles: 90.00 90.00 120.00
Last column: nearest neighbours and their distance in Å.
Space group R-3m (No. 166, hexagonal axes)
Inequivalent atoms, fractional coordinates:
Sr (0.0000, 0.0000, 0.0000) [3 per cell]  8 Au 3.23-3.59
Li (0.0000, 0.0000, 0.5000) [3 per cell]  8 Au 2.56-2.75
Zn (0.0000, 0.0000, 0.2364) [6 per cell]  7 Au 2.69-2.78
Au (0.0000, 0.0000, 0.1338) [6 per cell]  3 Li 2.75, 4 Zn 2.75-2.78
Au (0.0000, 0.0000, 0.4045) [6 per cell]  1 Li 2.56, 3 Zn 2.69

Results
Total energy   -69.040 eV per cell
Formation energy from the elements   -0.4700 eV per atom


(7)
Entry from Alexandria: SrLiZn2Au after structural relaxation (PBE).

abc: 4.9744 4.9744 4.9370
angles: 90.00 90.00 90.00
Last column: nearest neighbours and their distance in Å.
Space group P4/mmm (No. 123)
Inequivalent atoms, fractional coordinates:
Sr (0.0000, 0.0000, 0.0000) [1 per cell]  8 Zn 3.50, 4 Li 3.52
Li (0.5000, 0.5000, 0.0000) [1 per cell]  2 Au 2.47
Zn (0.0000, 0.5000, 0.5000) [2 per cell]  2 Au 2.49
Au (0.5000, 0.5000, 0.5000) [1 per cell]  2 Li 2.47, 4 Zn 2.49

Results
Total energy   -10.582 eV per cell
Formation energy from the elements   -0.2322 eV per atom


(8)
Entry from Alexandria: SrLi2ZnAu after structural relaxation (PBE).

abc: 4.9626 4.9626 5.0116
angles: 90.00 90.00 90.00
Last column: nearest neighbours and their distance in Å.
Space group P4/mmm (No. 123)
Inequivalent atoms, fractional coordinates:
Sr (0.0000, 0.0000, 0.0000) [1 per cell]  4 Zn 3.51, 8 Li 3.53
Li (0.0000, 0.5000, 0.5000) [2 per cell]  2 Au 2.48
Zn (0.5000, 0.5000, 0.0000) [1 per cell]  2 Au 2.51
Au (0.5000, 0.5000, 0.5000) [1 per cell]  4 Li 2.48, 2 Zn 2.51

Results
Energy above the lowest structure with this stoichiometry   0 meV per atom
Total energy   -11.308 eV per cell
Formation energy from the elements   -0.2494 eV per atom